The following is a DFT calculation (PBE) of a geometry-optimized Gd3FeHg structure.

Results
- Electronic total energy: -51.305 eV for the cell shown
- Space group: No. 221

CIF file:
```
data_Gd3FeHg
_symmetry_space_group_name_H-M 'P 1'
_symmetry_Int_Tables_number 1
_cell_length_a 5.1619
_cell_length_b 5.1619
_cell_length_c 5.1619
_cell_angle_alpha 90.00
_cell_angle_beta 90.00
_cell_angle_gamma 90.00
loop_
_symmetry_equiv_pos_as_xyz
'x,y,z'
loop_
_atom_site_label
_atom_site_type_symbol
_atom_site_fract_x
_atom_site_fract_y
_atom_site_fract_z
Gd1 Gd 0.0000 0.0000 0.5000
Gd2 Gd 0.0000 0.5000 0.0000
Gd3 Gd 0.5000 0.0000 0.0000
Fe1 Fe 0.0000 0.0000 0.0000
Hg1 Hg 0.5000 0.5000 0.5000
```